[1]
A plane-wave DFT calculation with GGA-PBEsol was carried out for crystalline As2PRu at its relaxed geometry.

For the total magnetization, the calculation gives 0.0 Bohr magnetons per cell. Its energy relative to the elements is 0.24 eV per atom. The calculation puts the volume at 81.3 Å³/f.u.

a b c (Å): 5.5275 5.5275 6.6015
angles (deg): 114.75 114.75 90.00
Sites, in units of the cell vectors:
As1 0.6250 0.6351 0.7500
As2 0.3649 0.8750 0.2500
As3 0.8851 0.3750 0.2500
As4 0.1250 0.1149 0.7500
Ru1 0.0000 0.0000 0.0000
Ru2 0.2500 0.7500 0.5000
P1 0.7500 0.2500 0.5000
P2 0.5000 0.5000 0.0000

---

[2]
A plane-wave DFT calculation with GGA-PBEsol was carried out for crystalline AsP3Ru at its relaxed geometry.

For the total magnetization, the calculation gives 0.0 Bohr magnetons per cell. Its energy relative to the elements is 1.45 eV per atom. The calculation puts the volume at 88.7 Å³/f.u.

a b c (Å): 4.4595 4.4595 4.4595
angles (deg): 90.00 90.00 90.00
Sites, in units of the cell vectors:
P1 0.0000 0.5000 0.0000
P2 0.5000 0.0000 0.0000
P3 0.0000 0.0000 0.5000
As1 0.0000 0.0000 0.0000
Ru1 0.5000 0.5000 0.5000

---

[3]
A plane-wave DFT calculation with GGA-PBEsol was carried out for crystalline AsPRu2Se at its relaxed geometry.

For the total magnetization, the calculation gives 0.0 Bohr magnetons per cell. For the uncorrected formation energy, the calculation gives 0.8125 eV/atom. The calculation puts the volume at 88.4 Å³/f.u.

a b c (Å): 4.3647 4.3647 4.6419
angles (deg): 90.00 90.00 90.00
Sites, in units of the cell vectors:
Se1 0.5000 0.5000 0.5000
As1 0.0000 0.0000 0.5000
Ru1 0.5000 0.0000 0.0000
Ru2 0.0000 0.5000 0.0000
P1 0.0000 0.0000 0.0000

---

[4]
A plane-wave DFT calculation with GGA-PBEsol was carried out for crystalline AsPRuSe2 at its relaxed geometry.

For the total magnetization, the calculation gives 0.0 Bohr magnetons per cell. For the uncorrected formation energy, the calculation gives 0.7841 eV/atom. The calculation puts the volume at 104.9 Å³/f.u.

a b c (Å): 4.6986 4.7248 4.7248
angles (deg): 90.00 90.00 90.00
Sites, in units of the cell vectors:
Ru1 0.0000 0.0000 0.0000
Se1 0.0000 0.5000 0.0000
Se2 0.0000 0.0000 0.5000
P1 0.5000 0.5000 0.5000
As1 0.5000 0.0000 0.0000

---

[5]
A plane-wave DFT calculation with GGA-PBEsol was carried out for crystalline AsP2S2 at its relaxed geometry.

For the total magnetization, the calculation gives 0.0 Bohr magnetons per cell. For the uncorrected formation energy, the calculation gives 1.0306 eV/atom. The calculation puts the volume at 98.2 Å³/f.u.

a b c (Å): 4.5316 4.5316 4.7799
angles (deg): 90.00 90.00 90.00
Sites, in units of the cell vectors:
S1 0.0000 0.5000 0.0000
S2 0.5000 0.0000 0.0000
As1 0.0000 0.0000 0.0000
P1 0.0000 0.0000 0.5000
P2 0.5000 0.5000 0.5000

---

[6]
A plane-wave DFT calculation with GGA-PBEsol was carried out for crystalline As2P2S7 at its relaxed geometry.

For the total magnetization, the calculation gives 0.0 Bohr magnetons per cell. For the uncorrected formation energy, the calculation gives -0.1802 eV/atom. The calculation puts the volume at 270.7 Å³/f.u.

a b c (Å): 8.2350 11.1297 11.9005
angles (deg): 96.88 90.00 90.00
Sites, in units of the cell vectors:
P1 0.1512 0.1313 0.8400
P2 0.8488 0.8687 0.1600
P3 0.8252 0.1221 0.6560
P4 0.3252 0.3779 0.3440
P5 0.3488 0.6313 0.8400
P6 0.1748 0.8779 0.3440
P7 0.6512 0.3687 0.1600
P8 0.6748 0.6221 0.6560
S1 0.2725 0.0155 0.9199
S2 0.7103 0.2550 0.7628
S3 0.7725 0.4845 0.0801
S4 0.7275 0.9845 0.0801
S5 0.3286 0.9934 0.4209
S6 0.0330 0.2613 0.9496
S7 0.7942 0.2853 0.2699
S8 0.9646 0.2073 0.5428
S9 0.1714 0.4934 0.4209
S10 0.7897 0.7550 0.7628
S11 0.5354 0.7073 0.5428
S12 0.4646 0.2927 0.4572
S13 0.2103 0.2450 0.2372
S14 0.5203 0.5176 0.7477
S15 0.9670 0.7387 0.0504
S16 0.2058 0.7147 0.7301
S17 0.2897 0.7450 0.2372
S18 0.2275 0.5155 0.9199
S19 0.6714 0.0066 0.5791
S20 0.4797 0.4824 0.2523
S21 0.0354 0.7927 0.4572
S22 0.2942 0.2147 0.7301
S23 0.4670 0.7613 0.9496
S24 0.0203 0.9824 0.2523
S25 0.9797 0.0176 0.7477
S26 0.5330 0.2387 0.0504
S27 0.7058 0.7853 0.2699
S28 0.8286 0.5066 0.5791
As1 0.8866 0.6572 0.3403
As2 0.1134 0.3428 0.6597
As3 0.5816 0.8812 0.8278
As4 0.6134 0.1572 0.3403
As5 0.0816 0.6188 0.1722
As6 0.4184 0.1188 0.1722
As7 0.9184 0.3812 0.8278
As8 0.3866 0.8428 0.6597

---

[7]
A plane-wave DFT calculation with GGA-PBEsol was carried out for crystalline As3PS at its relaxed geometry.

For the total magnetization, the calculation gives 0.0 Bohr magnetons per cell. For the uncorrected formation energy, the calculation gives 0.9830 eV/atom. The calculation puts the volume at 102.4 Å³/f.u.

a b c (Å): 4.6786 4.6786 4.6786
angles (deg): 90.00 90.00 90.00
Sites, in units of the cell vectors:
As1 0.0000 0.0000 0.5000
As2 0.5000 0.0000 0.0000
As3 0.0000 0.5000 0.0000
P1 0.5000 0.5000 0.5000
S1 0.0000 0.0000 0.0000

---

[8]
A plane-wave DFT calculation with GGA-PBEsol was carried out for crystalline ScAsP2S at its relaxed geometry.

For the total magnetization, the calculation gives 0.0 Bohr magnetons per cell. For the uncorrected formation energy, the calculation gives 0.2248 eV/atom. The calculation puts the volume at 99.0 Å³/f.u.

a b c (Å): 4.6175 4.6175 4.6442
angles (deg): 90.00 90.00 90.00
Sites, in units of the cell vectors:
P1 0.0000 0.5000 0.0000
P2 0.5000 0.0000 0.0000
S1 0.0000 0.0000 0.5000
As1 0.0000 0.0000 0.0000
Sc1 0.5000 0.5000 0.5000

---

[9]
A plane-wave DFT calculation with GGA-PBEsol was carried out for crystalline As2PSeS at its relaxed geometry.

For the total magnetization, the calculation gives 0.0 Bohr magnetons per cell. For the uncorrected formation energy, the calculation gives 0.9590 eV/atom. The calculation puts the volume at 104.5 Å³/f.u.

a b c (Å): 4.7556 4.6887 4.6887
angles (deg): 90.00 90.00 90.00
Sites, in units of the cell vectors:
S1 0.0000 0.0000 0.0000
Se1 0.5000 0.0000 0.0000
P1 0.5000 0.5000 0.5000
As1 0.0000 0.0000 0.5000
As2 0.0000 0.5000 0.0000

---

[10]
A plane-wave DFT calculation with GGA-PBEsol was carried out for crystalline SnAsPS2 at its relaxed geometry.

For the total magnetization, the calculation gives 0.0 Bohr magnetons per cell. For the uncorrected formation energy, the calculation gives 0.8982 eV/atom. The calculation puts the volume at 116.9 Å³/f.u.

a b c (Å): 4.8287 4.8287 5.0123
angles (deg): 90.00 90.00 90.00
Sites, in units of the cell vectors:
As1 0.5000 0.5000 0.5000
S1 0.0000 0.5000 0.0000
S2 0.5000 0.0000 0.0000
Sn1 0.0000 0.0000 0.0000
P1 0.0000 0.0000 0.5000

---

[11]
A plane-wave DFT calculation with GGA-PBEsol was carried out for crystalline SnAsP2S at its relaxed geometry.

For the total magnetization, the calculation gives 0.0 Bohr magnetons per cell. For the uncorrected formation energy, the calculation gives 0.5883 eV/atom. The calculation puts the volume at 103.8 Å³/f.u.

a b c (Å): 4.7216 4.7216 4.6559
angles (deg): 90.00 90.00 90.00
Sites, in units of the cell vectors:
S1 0.0000 0.0000 0.5000
P1 0.5000 0.0000 0.0000
P2 0.0000 0.5000 0.0000
Sn1 0.5000 0.5000 0.5000
As1 0.0000 0.0000 0.0000

---

[12]
A plane-wave DFT calculation with GGA-PBEsol was carried out for crystalline TlAsP2S at its relaxed geometry.

For the total magnetization, the calculation gives 0.0 Bohr magnetons per cell. For the uncorrected formation energy, the calculation gives 1.4541 eV/atom. The calculation puts the volume at 122.3 Å³/f.u.

a b c (Å): 4.8879 5.0022 5.0022
angles (deg): 90.00 90.00 90.00
Sites, in units of the cell vectors:
P1 0.0000 0.5000 0.0000
P2 0.0000 0.0000 0.5000
As1 0.5000 0.5000 0.5000
S1 0.5000 0.0000 0.0000
Tl1 0.0000 0.0000 0.0000